Material: NaAl4Ag6
Method: DFT, GGA-PBE
State: relaxed

**Calculated total energy**: -0.1096 hartree per atom
**Formation energy from the elements**: 0.054 eV/atom

```
11
Lattice="-3.359 3.359 4.975 3.359 -3.359 4.975 3.359 3.359 -4.975" Properties=species:S:1:pos:R:3 pbc="T T T"
Na 0.000 0.000 0.000
Al 2.313 2.313 -0.845
Al 1.047 -1.047 5.820
Al 1.047 1.047 4.130
Al -1.047 1.047 5.820
Ag 3.359 0.000 0.000
Ag 1.418 -1.418 3.052
Ag 1.941 1.941 1.923
Ag 0.000 3.359 0.000
Ag -1.418 1.418 3.052
Ag 1.418 1.418 6.898
```